First-principles (PBE) data for a geometry-optimized Ga4CoPd structure, as listed in Alexandria.

DFT total energy   -4.24 eV/atom
SG   I4_1md, No. 109

```
data_Ga4CoPd
_chemical_formula_sum 'Ga8 Co2 Pd2'
_cell_length_a 6.8829
_cell_length_b 6.8829
_cell_length_c 6.8829
_cell_angle_alpha 100.24
_cell_angle_beta 100.24
_cell_angle_gamma 130.13
_symmetry_space_group_name_H-M 'P 1'
_symmetry_Int_Tables_number 1
loop_
_symmetry_equiv_pos_as_xyz
'x,y,z'
loop_
_atom_site_label
_atom_site_fract_x
_atom_site_fract_y
_atom_site_fract_z
Ga1 0.2663 0.9835 0.7172
Ga2 0.7349 0.4688 0.7339
Ga3 0.7335 0.5163 0.2172
Ga4 0.2188 0.9849 0.2339
Ga5 0.2991 0.5163 0.7828
Ga6 0.7510 0.9849 0.7661
Ga7 0.7349 0.0010 0.2661
Ga8 0.2663 0.5491 0.2828
Co1 0.7589 0.7589 0.0000
Co2 0.5089 0.0089 0.5000
Pd1 0.2387 0.2387 0.0000
Pd2 0.9887 0.4887 0.5000
```

=====

First-principles (PBE) data for a geometry-optimized Pm2DyZn2 structure, as listed in Alexandria.

DFT total energy   -3.58 eV/atom
SG   P2_1/m, No. 11

```
data_Pm2DyZn2
_chemical_formula_sum 'Pm4 Dy2 Zn4'
_cell_length_a 3.6696
_cell_length_b 5.1854
_cell_length_c 13.6574
_cell_angle_alpha 90.00
_cell_angle_beta 97.74
_cell_angle_gamma 90.00
_symmetry_space_group_name_H-M 'P 1'
_symmetry_Int_Tables_number 1
loop_
_symmetry_equiv_pos_as_xyz
'x,y,z'
loop_
_atom_site_label
_atom_site_fract_x
_atom_site_fract_y
_atom_site_fract_z
Pm1 0.0464 0.7500 0.0908
Pm2 0.9536 0.2500 0.9092
Pm3 0.2312 0.7500 0.4635
Pm4 0.7688 0.2500 0.5365
Dy1 0.8564 0.7500 0.7148
Dy2 0.1436 0.2500 0.2852
Zn1 0.6390 0.7500 0.2770
Zn2 0.3610 0.2500 0.7230
Zn3 0.4470 0.7500 0.8951
Zn4 0.5530 0.2500 0.1049
```

=====

First-principles (PBE) data for a geometry-optimized Sr6AsSe3Cl2 structure, as listed in Alexandria.

ΔE_f (raw)   -1.883 eV/atom
SG   C2/m, No. 12

```
data_Sr6AsSe3Cl2
_chemical_formula_sum 'Sr6 As1 Se3 Cl2'
_cell_length_a 7.6651
_cell_length_b 7.6651
_cell_length_c 7.6645
_cell_angle_alpha 99.54
_cell_angle_beta 99.54
_cell_angle_gamma 119.94
_symmetry_space_group_name_H-M 'P 1'
_symmetry_Int_Tables_number 1
loop_
_symmetry_equiv_pos_as_xyz
'x,y,z'
loop_
_atom_site_label
_atom_site_fract_x
_atom_site_fract_y
_atom_site_fract_z
Sr1 0.9149 0.5943 0.7454
Sr2 0.7658 0.7658 0.2570
Sr3 0.0851 0.4057 0.2546
Sr4 0.5943 0.9149 0.7454
Sr5 0.2342 0.2342 0.7430
Sr6 0.4057 0.0851 0.2546
As1 0.0000 0.0000 0.0000
Se1 0.1717 0.8283 0.5000
Se2 0.8283 0.1717 0.5000
Se3 0.5000 0.5000 0.5000
Cl1 0.3346 0.6654 0.0000
Cl2 0.6654 0.3346 0.0000
```

=====

First-principles (PBE) data for a geometry-optimized TmMgGe structure, as listed in Alexandria.

DFT total energy   -4.20 eV/atom
SG   I4/mmm, No. 139

```
data_TmMgGe
_chemical_formula_sum 'Tm2 Mg2 Ge2'
_cell_length_a 4.1410
_cell_length_b 4.1410
_cell_length_c 8.1120
_cell_angle_alpha 104.74
_cell_angle_beta 104.74
_cell_angle_gamma 90.01
_symmetry_space_group_name_H-M 'P 1'
_symmetry_Int_Tables_number 1
loop_
_symmetry_equiv_pos_as_xyz
'x,y,z'
loop_
_atom_site_label
_atom_site_fract_x
_atom_site_fract_y
_atom_site_fract_z
Tm1 0.3291 0.3291 0.6582
Tm2 0.6709 0.6709 0.3418
Mg1 0.5000 0.0000 0.0000
Mg2 0.0000 0.5000 0.0000
Ge1 0.8630 0.8630 0.7273
Ge2 0.1370 0.1370 0.2727
```